NbCoRu3 PBE relaxed; distance to the lowest polymorph of the same formula = 854 meV/atom; energy relative to the elements = 1.985 eV per atom; space-group type = Pm-3m
1.0
4.657 0.000 0.000
0.000 4.657 0.000
0.000 0.000 4.657
Nb Co Ru
1 1 3
Cartesian
0.000 0.000 0.000
2.328 2.328 2.328
0.000 0.000 2.328
0.000 2.328 0.000
2.328 0.000 0.000



Nb6CoRu5 PBE relaxed; energy relative to the elements = -0.186 eV per atom; space-group type = C2/m
1.0
6.915 -3.067 0.000
6.915 3.067 0.000
-0.933 0.000 4.482
Nb Co Ru
6 1 5
Cartesian
4.417 1.537 1.378
6.915 1.563 0.000
8.480 1.537 3.104
4.417 -1.537 1.378
6.915 -1.563 0.000
8.480 -1.537 3.104
-0.467 0.000 2.241
2.182 0.000 0.938
3.755 0.000 3.565
6.448 0.000 2.241
9.142 0.000 0.917
10.715 0.000 3.544



Nb2Co3Ru3 PBE relaxed; energy relative to the elements = -0.131 eV per atom; space-group type = Pmmm
1.0
3.763 0.000 0.000
0.000 3.806 0.000
0.000 0.000 7.575
Nb Co Ru
2 3 3
Cartesian
0.000 0.000 1.847
0.000 0.000 5.728
1.882 0.000 0.000
1.882 1.903 1.843
1.882 1.903 5.733
0.000 1.903 0.000
0.000 1.903 3.788
1.882 0.000 3.788



NbCoRu3 PBE relaxed; distance to the lowest polymorph of the same formula = 0 meV/atom; energy relative to the elements = 1.131 eV per atom; space-group type = Pm-3m
1.0
4.379 0.000 0.000
0.000 4.379 0.000
0.000 0.000 4.379
Nb Co Ru
1 1 3
Cartesian
0.000 0.000 0.000
2.190 2.190 2.190
0.000 2.190 2.190
2.190 0.000 2.190
2.190 2.190 0.000



NbCoRu PBE relaxed; distance to the lowest polymorph of the same formula = 0 meV/atom; energy relative to the elements = -0.223 eV per atom; space-group type = P6_3/mmc
1.0
4.262 0.000 0.000
-2.131 3.691 0.000
0.000 0.000 5.345
Nb Co Ru
2 2 2
Cartesian
0.000 2.460 1.336
2.131 1.230 4.009
0.000 2.460 4.009
2.131 1.230 1.336
0.000 0.000 0.000
0.000 0.000 2.673



NbCoRu PBE relaxed; distance to the lowest polymorph of the same formula = 189 meV/atom; energy relative to the elements = -0.034 eV per atom; space-group type = P1
1.0
2.779 0.000 0.000
0.024 4.656 0.000
1.360 0.583 6.583
Nb Co Ru
2 2 2
Cartesian
0.000 0.000 0.000
1.429 2.501 4.359
1.436 3.927 2.127
1.424 2.396 0.025
2.827 4.732 4.144
2.819 1.671 2.031



Nb4CoRu5 PBE relaxed; energy relative to the elements = -0.205 eV per atom; space-group type = C2/m
1.0
7.166 -2.119 0.000
7.166 2.119 0.000
-1.855 0.000 5.078
Nb Co Ru
4 1 5
Cartesian
0.550 0.000 1.729
2.765 0.000 4.423
9.712 0.000 0.655
11.926 0.000 3.350
7.166 0.000 0.000
0.034 0.000 4.361
3.541 0.000 1.917
6.238 0.000 2.539
8.936 0.000 3.161
12.443 0.000 0.717



NbCoRu PBE relaxed; distance to the lowest polymorph of the same formula = 282 meV/atom; energy relative to the elements = 0.058 eV per atom; space-group type = Ima2
1.0
-4.202 5.041 3.099
4.202 -5.041 3.099
4.202 5.041 -3.099
Nb Co Ru
6 6 6
Cartesian
0.021 1.732 0.000
4.181 1.732 0.000
2.101 4.588 -0.042
2.101 0.453 3.057
0.021 3.308 3.099
4.181 3.308 3.099
0.000 0.000 1.728
4.202 0.000 1.728
-0.460 3.948 0.861
4.662 3.948 0.861
0.460 6.134 0.861
-0.460 1.093 3.959
2.101 -2.070 1.933
2.101 2.507 1.477
2.101 7.110 -1.165
-2.101 4.915 2.873
2.101 5.167 2.873
2.101 2.534 4.576



NbCoRu PBE relaxed; distance to the lowest polymorph of the same formula = 83 meV/atom; energy relative to the elements = -0.141 eV per atom; space-group type = Ima2
1.0
-2.424 3.450 2.560
2.424 -3.450 2.560
2.424 3.450 -2.560
Nb Co Ru
2 2 2
Cartesian
1.212 0.886 0.000
1.212 2.564 2.560
0.000 0.000 2.272
2.424 0.000 2.272
-1.212 1.955 1.343
1.212 4.945 1.343



Nb2Co3Ru PBE relaxed; energy relative to the elements = 0.210 eV per atom; space-group type = I4_1/amd
1.0
-4.136 4.136 5.146
4.136 -4.136 5.146
4.136 4.136 -5.146
Nb Co Ru
8 12 4
Cartesian
2.617 2.068 0.143
5.655 2.068 0.143
4.136 0.549 2.430
0.000 0.549 2.715
4.136 3.587 2.430
0.000 3.587 2.715
-1.519 2.068 5.003
1.519 2.068 5.003
4.136 0.000 0.000
1.895 -0.173 1.286
6.378 -0.173 1.286
1.895 3.963 -1.286
2.241 -0.173 3.859
-2.068 2.068 2.573
0.000 0.000 5.146
2.068 2.068 2.573
1.895 4.309 1.286
2.241 0.173 6.432
-2.241 4.309 3.859
2.241 4.309 3.859
4.136 2.068 -2.084
0.000 2.068 0.488
4.136 2.068 4.657
0.000 2.068 7.230



NbCoSiRu PBE relaxed; E_form (uncorrected) = -0.383 eV/atom; space-group type = F-43m
1.0
0.000 3.026 3.026
3.026 0.000 3.026
3.026 3.026 0.000
Nb Co Si Ru
1 1 1 1
Cartesian
0.000 0.000 0.000
4.539 4.539 4.539
3.026 3.026 3.026
1.513 1.513 1.513



SrNbCo2Ru PBE relaxed; energy relative to the elements = 1.581 eV per atom; space-group type = P4/mmm
1.0
4.607 0.000 0.000
0.000 4.607 0.000
0.000 0.000 5.042
Sr Nb Co Ru
1 1 2 1
Cartesian
0.000 0.000 0.000
2.303 2.303 0.000
0.000 2.303 2.521
2.303 0.000 2.521
0.000 0.000 2.521



Ta2NbCo2Ru5 PBE relaxed; energy relative to the elements = -0.064 eV per atom; space-group type = P4/mbm
1.0
8.721 0.000 0.000
0.000 8.721 0.000
0.000 0.000 3.885
Ta Nb Co Ru
4 2 4 10
Cartesian
1.415 2.946 0.000
2.946 7.306 0.000
5.775 1.415 0.000
7.306 5.775 0.000
0.000 0.000 0.000
4.360 4.360 0.000
1.141 5.501 0.000
3.219 1.141 0.000
5.501 7.580 0.000
7.580 3.219 0.000
0.000 4.360 1.942
0.657 6.948 1.942
1.773 0.657 1.942
2.587 5.017 1.942
3.704 2.587 1.942
4.360 0.000 1.942
5.017 6.133 1.942
6.133 3.704 1.942
6.948 8.064 1.942
8.064 1.773 1.942



TaNb2Co2Ru5 PBE relaxed; energy relative to the elements = -0.060 eV per atom; space-group type = P4/mbm
1.0
8.730 0.000 0.000
0.000 8.730 0.000
0.000 0.000 3.887
Ta Nb Co Ru
2 4 4 10
Cartesian
0.000 0.000 0.000
4.365 4.365 0.000
1.421 2.944 0.000
2.944 7.309 0.000
5.786 1.421 0.000
7.309 5.786 0.000
1.137 5.502 0.000
3.228 1.137 0.000
5.502 7.593 0.000
7.593 3.228 0.000
0.000 4.365 1.944
0.656 6.957 1.944
1.773 0.656 1.944
2.592 5.021 1.944
3.709 2.592 1.944
4.365 0.000 1.944
5.021 6.138 1.944
6.138 3.709 1.944
6.957 8.073 1.944
8.073 1.773 1.944



TbNbCoRu PBE relaxed; energy relative to the elements = -0.095 eV per atom; space-group type = F-43m
1.0
0.000 3.253 3.253
3.253 0.000 3.253
3.253 3.253 0.000
Tb Nb Co Ru
1 1 1 1
Cartesian
0.000 0.000 0.000
3.253 3.253 3.253
1.626 1.626 1.626
4.879 4.879 4.879



Ti5Nb2Co2Ru PBE relaxed; energy relative to the elements = -0.262 eV per atom; space-group type = P4/mbm
1.0
10.134 0.000 0.000
0.000 10.134 0.000
0.000 0.000 3.053
Ti Nb Co Ru
10 4 4 2
Cartesian
0.000 5.067 0.000
0.598 2.059 0.000
2.059 9.536 0.000
3.008 4.469 0.000
4.469 7.126 0.000
5.067 0.000 0.000
5.664 3.008 0.000
7.126 5.664 0.000
8.074 0.598 0.000
9.536 8.074 0.000
1.787 6.854 1.527
3.280 1.787 1.527
6.854 8.347 1.527
8.347 3.280 1.527
1.304 3.762 1.527
3.762 8.829 1.527
6.371 1.304 1.527
8.829 6.371 1.527
0.000 0.000 1.527
5.067 5.067 1.527



TiNbCoRu PBE relaxed; energy relative to the elements = -0.329 eV per atom; space-group type = F-43m
1.0
0.000 3.097 3.097
3.097 0.000 3.097
3.097 3.097 0.000
Ti Nb Co Ru
1 1 1 1
Cartesian
0.000 0.000 0.000
3.097 3.097 3.097
4.645 4.645 4.645
1.548 1.548 1.548



Ti2NbCoRu PBE relaxed; energy relative to the elements = 1.304 eV per atom; space-group type = P4/mmm
1.0
4.665 0.000 0.000
0.000 4.665 0.000
0.000 0.000 4.269
Ti Nb Co Ru
2 1 1 1
Cartesian
0.000 2.332 0.000
2.332 0.000 0.000
0.000 0.000 0.000
0.000 0.000 2.134
2.332 2.332 2.134



Nb2Co2Ru5W PBE relaxed; energy relative to the elements = 0.032 eV per atom; space-group type = P4/mbm
1.0
8.675 0.000 0.000
0.000 8.675 0.000
0.000 0.000 3.887
Nb Co Ru W
4 4 10 2
Cartesian
1.443 2.895 0.000
2.895 7.232 0.000
5.780 1.443 0.000
7.232 5.780 0.000
1.106 5.444 0.000
3.231 1.106 0.000
5.444 7.569 0.000
7.569 3.231 0.000
0.000 4.337 1.943
0.644 6.923 1.943
1.752 0.644 1.943
2.585 4.981 1.943
3.693 2.585 1.943
4.337 0.000 1.943
4.981 6.090 1.943
6.090 3.693 1.943
6.923 8.031 1.943
8.031 1.752 1.943
0.000 0.000 0.000
4.337 4.337 0.000



Nb2ZnCo2Ru5 PBE relaxed; energy relative to the elements = -0.027 eV per atom; space-group type = P4/mbm
1.0
8.596 0.000 0.000
0.000 8.596 0.000
0.000 0.000 3.907
Nb Zn Co Ru
4 2 4 10
Cartesian
1.391 2.907 0.000
2.907 7.205 0.000
5.688 1.391 0.000
7.205 5.688 0.000
0.000 0.000 0.000
4.298 4.298 0.000
1.145 5.443 0.000
3.153 1.145 0.000
5.443 7.451 0.000
7.451 3.153 0.000
0.000 4.298 1.954
0.637 6.882 1.954
1.713 0.637 1.954
2.584 4.935 1.954
3.661 2.584 1.954
4.298 0.000 1.954
4.935 6.011 1.954
6.011 3.661 1.954
6.882 7.959 1.954
7.959 1.713 1.954



NbCoS2 PBE relaxed; distance to the lowest polymorph of the same formula = 0 meV/atom; E_form (uncorrected) = -0.769 eV/atom; space-group type = Pnma
1.0
5.682 0.000 0.000
0.000 3.349 0.000
0.000 0.000 13.031
Nb Co S
4 4 8
Cartesian
1.156 0.837 0.821
1.685 2.512 7.336
3.997 0.837 5.695
4.526 2.512 12.210
0.785 0.837 11.178
2.056 2.512 4.662
3.626 0.837 8.369
4.897 2.512 1.853
0.919 0.837 5.503
1.227 2.512 2.602
1.614 0.837 9.117
1.922 2.512 12.019
3.760 0.837 1.012
4.068 2.512 3.914
4.455 0.837 10.429
4.763 2.512 7.527